Entry 1:
Compound: NiPtCCl2
Source: Alexandria via LeMat-Bulk
Functional: PBE
Structure: relaxed

## Properties
Crystal system   tetragonal
Final energy   -0.2816 Ry/atom

Geometry as POSCAR:
```
NiPtCCl2
1.0
4.8299 0.0000 0.0000
0.0000 4.8299 0.0000
0.0000 0.0000 3.5153
Ni Pt C Cl
1 1 1 2
Direct
0.0000 0.0000 0.0000 Ni
0.5000 0.5000 0.5000 Pt
0.0000 0.0000 0.5000 C
0.0000 0.5000 0.0000 Cl
0.5000 0.0000 0.0000 Cl
```

---

Entry 2:
Compound: Rb2NiCCl6
Source: Alexandria via LeMat-Bulk
Functional: PBE
Structure: relaxed

## Properties
Crystal system   cubic
Final energy   -0.2419 Ry/atom

Geometry as POSCAR:
```
Rb2NiCCl6
1.0
0.0000 4.8174 4.8174
4.8174 0.0000 4.8174
4.8174 4.8174 0.0000
Rb Ni C Cl
2 1 1 6
Direct
0.2500 0.2500 0.2500 Rb
0.7500 0.7500 0.7500 Rb
0.0000 0.0000 0.0000 Ni
0.5000 0.5000 0.5000 C
0.2505 0.2505 0.7495 Cl
0.2505 0.7495 0.2505 Cl
0.2505 0.7495 0.7495 Cl
0.7495 0.2505 0.2505 Cl
0.7495 0.2505 0.7495 Cl
0.7495 0.7495 0.2505 Cl
```

---

Entry 3:
Compound: Rb2NiCCl
Source: Alexandria via LeMat-Bulk
Functional: PBE
Structure: relaxed

## Properties
Crystal system   tetragonal
Final energy   -0.1914 Ry/atom

Geometry as POSCAR:
```
Rb2NiCCl
1.0
6.2398 0.0000 0.0000
0.0000 6.2398 0.0000
0.0000 0.0000 3.8541
Rb Ni C Cl
2 1 1 1
Direct
0.0000 0.5000 0.0000 Rb
0.5000 0.0000 0.0000 Rb
0.0000 0.0000 0.5000 Ni
0.5000 0.5000 0.0000 C
0.5000 0.5000 0.5000 Cl
```

---

Entry 4:
Compound: NiCS2Cl
Source: Alexandria via LeMat-Bulk
Functional: PBE
Structure: relaxed

## Properties
Crystal system   tetragonal
Excess energy over the best structure of this formula in the dataset   1.95 eV per formula unit

Geometry as POSCAR:
```
NiCS2Cl
1.0
4.4105 0.0000 0.0000
0.0000 4.4105 0.0000
0.0000 0.0000 4.5038
Ni C S Cl
1 1 2 1
Direct
0.0000 0.0000 0.0000 Ni
0.5000 0.5000 0.5000 C
0.0000 0.5000 0.0000 S
0.5000 0.0000 0.0000 S
0.0000 0.0000 0.5000 Cl
```